(1)
# Ac2CeAl6 PBE-GGA relaxed
# Total energy = -4.187 eV per atom
# Energy relative to the elements = -119.4 meV/atom
# Magnetization = 0.50 μB/f.u.
# Density of states at the Fermi level = 9.59 states/eV/f.u.
data_Ac2CeAl6
_symmetry_space_group_name_H-M 'I m m m'
_symmetry_Int_Tables_number 71
_symmetry_space_group_name_Hall '-I 2 2'
_cell_length_a 3.7257
_cell_length_b 8.1196
_cell_length_c 15.8904
_cell_angle_alpha 90.00
_cell_angle_beta 90.00
_cell_angle_gamma 90.00
loop_
_atom_site_label
_atom_site_fract_x
_atom_site_fract_y
_atom_site_fract_z
Ac1 0.0000 0.0000 0.1653
Ce1 0.0000 0.5000 0.0000
Al1 0.0000 0.1629 0.3596
Al2 0.0000 0.3360 0.5000



(2)
# Ac2CeAl PBE-GGA relaxed
# Total energy = -4.464 eV per atom
# Energy relative to the elements = 9.2 meV/atom
# Energy relative to the lowest polymorph listed for this composition = 4.8 meV/atom
# Magnetization = 1.45 μB/f.u.
# Density of states at the Fermi level = 8.26 states/eV/f.u.
data_Ac2CeAl
_symmetry_space_group_name_H-M 'P 4/m m m'
_symmetry_Int_Tables_number 123
_symmetry_space_group_name_Hall '-P 4 2'
_cell_length_a 3.9084
_cell_length_b 3.9084
_cell_length_c 9.0941
_cell_angle_alpha 90.00
_cell_angle_beta 90.00
_cell_angle_gamma 90.00
loop_
_atom_site_label
_atom_site_fract_x
_atom_site_fract_y
_atom_site_fract_z
Ac1 0.0000 0.0000 0.2137
Ce1 0.5000 0.5000 0.5000
Al1 0.5000 0.5000 0.0000



(3)
# AcCeAl4 PBE-GGA relaxed
# Total energy = -4.551 eV per atom
# Energy relative to the elements = -381.7 meV/atom
# Magnetization = 0.83 μB/f.u.
# Density of states at the Fermi level = 8.28 states/eV/f.u.
data_AcCeAl4
_symmetry_space_group_name_H-M 'F -4 3 m'
_symmetry_Int_Tables_number 216
_symmetry_space_group_name_Hall 'F -4 2 3'
_cell_length_a 8.1570
_cell_length_b 8.1570
_cell_length_c 8.1570
_cell_angle_alpha 90.00
_cell_angle_beta 90.00
_cell_angle_gamma 90.00
loop_
_atom_site_label
_atom_site_fract_x
_atom_site_fract_y
_atom_site_fract_z
Ac1 0.0000 0.0000 0.0000
Ce1 0.2500 0.2500 0.2500
Al1 0.1241 0.1241 0.6241



(4)
# Ac2CeAl9 PBE-GGA relaxed
# Total energy = -4.284 eV per atom
# Energy relative to the elements = -298.1 meV/atom
# Magnetization = 0.74 μB/f.u.
# Density of states at the Fermi level = 9.21 states/eV/f.u.
data_Ac2CeAl9
_symmetry_space_group_name_H-M 'R -3 m'
_symmetry_Int_Tables_number 166
_symmetry_space_group_name_Hall '-R 3 2"'
_cell_length_a 5.7691
_cell_length_b 5.7691
_cell_length_c 27.4312
_cell_angle_alpha 90.00
_cell_angle_beta 90.00
_cell_angle_gamma 120.00
loop_
_atom_site_label
_atom_site_fract_x
_atom_site_fract_y
_atom_site_fract_z
Ac1 0.0000 0.0000 0.1398
Ce1 0.0000 0.0000 0.0000
Al1 0.0000 0.0000 0.3344
Al2 0.0000 0.0000 0.5000
Al3 0.0045 0.5023 0.9214



(5)
# AcCe2Al PBE-GGA relaxed
# Total energy = -4.782 eV per atom
# Energy relative to the elements = 148.1 meV/atom
# Energy relative to the lowest polymorph listed for this composition = 184.2 meV/atom
# Magnetization = 2.46 μB/f.u.
# Density of states at the Fermi level = 14.73 states/eV/f.u.
data_AcCe2Al
_symmetry_space_group_name_H-M 'F m -3 m'
_symmetry_Int_Tables_number 225
_symmetry_space_group_name_Hall '-F 4 2 3'
_cell_length_a 7.8143
_cell_length_b 7.8143
_cell_length_c 7.8143
_cell_angle_alpha 90.00
_cell_angle_beta 90.00
_cell_angle_gamma 90.00
loop_
_atom_site_label
_atom_site_fract_x
_atom_site_fract_y
_atom_site_fract_z
Ac1 0.0000 0.0000 0.0000
Ce1 0.2500 0.2500 0.2500
Al1 0.0000 0.0000 0.5000



(6)
# Ac2CeAl PBE-GGA relaxed
# Total energy = -4.186 eV per atom
# Energy relative to the elements = 286.9 meV/atom
# Energy relative to the lowest polymorph listed for this composition = 282.4 meV/atom
# Magnetization = 1.85 μB/f.u.
# Density of states at the Fermi level = 8.84 states/eV/f.u.
data_Ac2CeAl
_symmetry_space_group_name_H-M 'R -3 m'
_symmetry_Int_Tables_number 166
_symmetry_space_group_name_Hall '-R 3 2"'
_cell_length_a 3.7303
_cell_length_b 3.7303
_cell_length_c 36.6362
_cell_angle_alpha 90.00
_cell_angle_beta 90.00
_cell_angle_gamma 120.00
loop_
_atom_site_label
_atom_site_fract_x
_atom_site_fract_y
_atom_site_fract_z
Ac1 0.0000 0.0000 0.0990
Ce1 0.0000 0.0000 0.0000
Al1 0.0000 0.0000 0.5000



(7)
# Ac2CeAl PBE-GGA relaxed
# Total energy = -4.469 eV per atom
# Energy relative to the elements = 4.4 meV/atom
# Energy relative to the lowest polymorph listed for this composition = 0.0 meV/atom
# Magnetization = 0.91 μB/f.u.
# Density of states at the Fermi level = 8.70 states/eV/f.u.
data_Ac2CeAl
_symmetry_space_group_name_H-M 'P 4/m m m'
_symmetry_Int_Tables_number 123
_symmetry_space_group_name_Hall '-P 4 2'
_cell_length_a 5.1945
_cell_length_b 5.1945
_cell_length_c 4.8908
_cell_angle_alpha 90.00
_cell_angle_beta 90.00
_cell_angle_gamma 90.00
loop_
_atom_site_label
_atom_site_fract_x
_atom_site_fract_y
_atom_site_fract_z
Ac1 0.0000 0.5000 0.0000
Ce1 0.0000 0.0000 0.5000
Al1 0.5000 0.5000 0.5000



(8)
# AcCe2Al PBE-GGA relaxed
# Total energy = -4.954 eV per atom
# Energy relative to the elements = -24.1 meV/atom
# Energy relative to the lowest polymorph listed for this composition = 12.1 meV/atom
# Magnetization = 1.86 μB/f.u.
# Density of states at the Fermi level = 11.29 states/eV/f.u.
data_AcCe2Al
_symmetry_space_group_name_H-M 'P 4/m m m'
_symmetry_Int_Tables_number 123
_symmetry_space_group_name_Hall '-P 4 2'
_cell_length_a 4.8316
_cell_length_b 4.8316
_cell_length_c 5.0211
_cell_angle_alpha 90.00
_cell_angle_beta 90.00
_cell_angle_gamma 90.00
loop_
_atom_site_label
_atom_site_fract_x
_atom_site_fract_y
_atom_site_fract_z
Ac1 0.0000 0.0000 0.0000
Ce1 0.0000 0.5000 0.5000
Al1 0.5000 0.5000 0.0000